No. 1
# Pa2Ge (PBE, relaxed)
data_Pa2Ge
_cell_length_a 3.932
_cell_length_b 3.932
_cell_length_c 9.120
_cell_angle_alpha 90.00
_cell_angle_beta 90.00
_cell_angle_gamma 90.00
_symmetry_space_group_name_H-M 'I 4/m m m'
_symmetry_Int_Tables_number 139
_symmetry_space_group_name_Hall '-I 4 2'
loop_
_atom_site_label
_atom_site_type_symbol
_atom_site_fract_x
_atom_site_fract_y
_atom_site_fract_z
Pa1 Pa 0.000 0.000 0.147
Ge1 Ge 0.000 0.000 0.500
# V = 23.5 A^3/atom
# ΔE_f = -20.0 kJ per mole of atoms
# calculated total energy = -48.46 eV per cell
# crystal system = tetragonal

***

No. 2
# ReSnIr2 (PBE, relaxed)
data_ReSnIr2
_cell_length_a 5.716
_cell_length_b 5.716
_cell_length_c 11.833
_cell_angle_alpha 90.00
_cell_angle_beta 90.00
_cell_angle_gamma 90.00
_symmetry_space_group_name_H-M 'I -4 2 d'
_symmetry_Int_Tables_number 122
_symmetry_space_group_name_Hall 'I -4 2bw'
loop_
_atom_site_label
_atom_site_type_symbol
_atom_site_fract_x
_atom_site_fract_y
_atom_site_fract_z
Re1 Re 0.000 0.000 0.000
Sn1 Sn 0.000 0.000 0.500
Ir1 Ir 0.217 0.250 0.125
# V = 24.2 A^3/atom
# ΔE_f = 67.9 kJ per mole of atoms
# calculated total energy = -125.44 eV per cell
# crystal system = tetragonal

***

No. 3
# DyScPb (PBE, relaxed)
data_DyScPb
_cell_length_a 3.838
_cell_length_b 3.838
_cell_length_c 10.945
_cell_angle_alpha 90.00
_cell_angle_beta 90.00
_cell_angle_gamma 90.00
_symmetry_space_group_name_H-M 'I 4 m m'
_symmetry_Int_Tables_number 107
_symmetry_space_group_name_Hall 'I 4 -2'
loop_
_atom_site_label
_atom_site_type_symbol
_atom_site_fract_x
_atom_site_fract_y
_atom_site_fract_z
Dy1 Dy 0.000 0.000 0.000
Sc1 Sc 0.000 0.000 0.682
Pb1 Pb 0.000 0.000 0.325
# V = 26.9 A^3/atom
# ΔE_f = -24.1 kJ per mole of atoms
# calculated total energy = -30.78 eV per cell
# crystal system = tetragonal

***

No. 4
# MgAl2H8 (PBE, relaxed)
data_MgAl2H8
_cell_length_a 7.418
_cell_length_b 5.530
_cell_length_c 4.467
_cell_angle_alpha 90.00
_cell_angle_beta 98.34
_cell_angle_gamma 90.00
_symmetry_space_group_name_H-M 'C 1 2/m 1'
_symmetry_Int_Tables_number 12
loop_
_symmetry_equiv_pos_as_xyz
'x,y,z'
'-x,-y,-z'
'-x,y,-z'
'x,-y,z'
'x+1/2,y+1/2,z'
'-x+1/2,-y+1/2,-z'
'-x+1/2,y+1/2,-z'
'x+1/2,-y+1/2,z'
loop_
_atom_site_label
_atom_site_type_symbol
_atom_site_fract_x
_atom_site_fract_y
_atom_site_fract_z
Mg1 Mg 0.000 0.000 0.000
Al1 Al 0.186 0.500 0.448
H1 H 0.074 0.500 0.748
H2 H 0.128 0.194 0.346
H3 H 0.214 0.000 0.856
# V = 8.2 A^3/atom
# calculated total energy = -71.60 eV per cell
# crystal system = monoclinic